[1]
# PBE-GGA V5CrRe6, optimized geometry
data_V5CrRe6
_chemical_formula_sum 'V10 Cr2 Re12'
_symmetry_space_group_name_H-M 'I m m m'
_symmetry_Int_Tables_number 71
_symmetry_space_group_name_Hall '-I 2 2'
_cell_length_a 4.292
_cell_length_b 6.071
_cell_length_c 12.837
_cell_angle_alpha 90.00
_cell_angle_beta 90.00
_cell_angle_gamma 90.00
loop_
_atom_site_label
_atom_site_type_symbol
_atom_site_fract_x
_atom_site_fract_y
_atom_site_fract_z
V1 V 0.000 0.000 0.000
V2 V 0.000 0.000 0.334
V3 V 0.000 0.500 0.333
Cr1 Cr 0.000 0.500 0.000
Re1 Re 0.000 0.249 0.500
Re2 Re 0.000 0.251 0.166
# ΔE_f: -280 meV per atom
# Density: 14.138 g/cm3
# Total energy: -11.105 eV/atom
# Total magnetization: 0.000 μB/cell

[2]
# PBE-GGA VCr14Re, optimized geometry
data_VCr14Re
_chemical_formula_sum 'V2 Cr28 Re2'
_symmetry_space_group_name_H-M 'C m m m'
_symmetry_Int_Tables_number 65
_symmetry_space_group_name_Hall '-C 2 2'
_cell_length_a 5.792
_cell_length_b 8.159
_cell_length_c 8.195
_cell_angle_alpha 90.00
_cell_angle_beta 90.00
_cell_angle_gamma 90.00
loop_
_atom_site_label
_atom_site_type_symbol
_atom_site_fract_x
_atom_site_fract_y
_atom_site_fract_z
V1 V 0.000 0.000 0.000
Cr1 Cr 0.000 0.000 0.500
Cr2 Cr 0.000 0.249 0.253
Cr3 Cr 0.000 0.500 0.500
Cr4 Cr 0.248 0.000 0.255
Cr5 Cr 0.250 0.250 0.000
Cr6 Cr 0.250 0.250 0.500
Re1 Re 0.000 0.500 0.000
# ΔE_f: -34 meV per atom
# Density: 8.276 g/cm3
# Total energy: -9.803 eV/atom
# Total magnetization: 0.620 μB/cell

[3]
# PBE-GGA V4Cr2Re3, optimized geometry
data_V4Cr2Re3
_chemical_formula_sum 'V4 Cr2 Re3'
_symmetry_space_group_name_H-M 'P -3 m 1'
_symmetry_Int_Tables_number 164
_symmetry_space_group_name_Hall '-P 3 2"'
_cell_length_a 4.2548
_cell_length_b 4.2548
_cell_length_c 7.7693
_cell_angle_alpha 90.00
_cell_angle_beta 90.00
_cell_angle_gamma 120.00
loop_
_atom_site_label
_atom_site_type_symbol
_atom_site_fract_x
_atom_site_fract_y
_atom_site_fract_z
V1 V 0.0000 0.0000 0.1724
V2 V 0.3333 0.6667 0.6094
Cr1 Cr 0.3333 0.6667 0.2782
Re1 Re 0.0000 0.0000 0.5000
Re2 Re 0.3333 0.6667 0.9441
# ΔE_f: -248 meV per atom
# Density: 11.810 g/cm3
# Total energy: -10.589 eV/atom
# Total magnetization: 0.000 μB/cell

[4]
# PBE-GGA V3CrRe4, optimized geometry
data_V3CrRe4
_chemical_formula_sum 'V3 Cr1 Re4'
_symmetry_space_group_name_H-M 'P 4/m m m'
_symmetry_Int_Tables_number 123
_symmetry_space_group_name_Hall '-P 4 2'
_cell_length_a 3.026
_cell_length_b 3.026
_cell_length_c 12.116
_cell_angle_alpha 90.00
_cell_angle_beta 90.00
_cell_angle_gamma 90.00
loop_
_atom_site_label
_atom_site_type_symbol
_atom_site_fract_x
_atom_site_fract_y
_atom_site_fract_z
V1 V 0.000 0.000 0.000
V2 V 0.000 0.000 0.251
Cr1 Cr 0.000 0.000 0.500
Re1 Re 0.500 0.500 0.126
Re2 Re 0.500 0.500 0.377
# ΔE_f: -245 meV per atom
# Density: 14.211 g/cm3
# Total energy: -11.092 eV/atom
# Total magnetization: 0.000 μB/cell

[5]
# PBE-GGA VCr2Re2, optimized geometry
data_VCr2Re2
_chemical_formula_sum 'V4 Cr8 Re8'
_symmetry_space_group_name_H-M 'C 1 2/m 1'
_symmetry_Int_Tables_number 12
_cell_length_a 8.986
_cell_length_b 4.181
_cell_length_c 8.308
_cell_angle_alpha 90.00
_cell_angle_beta 117.93
_cell_angle_gamma 90.00
loop_
_symmetry_equiv_pos_as_xyz
'x,y,z'
'-x,-y,-z'
'-x,y,-z'
'x,-y,z'
'x+1/2,y+1/2,z'
'-x+1/2,-y+1/2,-z'
'-x+1/2,y+1/2,-z'
'x+1/2,-y+1/2,z'
loop_
_atom_site_label
_atom_site_type_symbol
_atom_site_fract_x
_atom_site_fract_y
_atom_site_fract_z
V1 V 0.135 0.000 0.124
Cr1 Cr 0.057 0.000 0.723
Cr2 Cr 0.127 0.500 0.611
Re1 Re 0.116 0.500 0.939
Re2 Re 0.195 0.500 0.358
# ΔE_f: 227 meV per atom
# Density: 12.698 g/cm3
# Total energy: -10.425 eV/atom
# Total magnetization: 0.000 μB/cell

[6]
# PBE-GGA V6CrRe, optimized geometry
data_V6CrRe
_chemical_formula_sum 'V12 Cr2 Re2'
_symmetry_space_group_name_H-M 'C m m m'
_symmetry_Int_Tables_number 65
_symmetry_space_group_name_Hall '-C 2 2'
_cell_length_a 5.983
_cell_length_b 8.486
_cell_length_c 4.203
_cell_angle_alpha 90.00
_cell_angle_beta 90.00
_cell_angle_gamma 90.00
loop_
_atom_site_label
_atom_site_type_symbol
_atom_site_fract_x
_atom_site_fract_y
_atom_site_fract_z
V1 V 0.000 0.248 0.000
V2 V 0.245 0.000 0.000
V3 V 0.250 0.250 0.500
Cr1 Cr 0.000 0.000 0.500
Re1 Re 0.000 0.500 0.500
# ΔE_f: -143 meV per atom
# Density: 8.464 g/cm3
# Total energy: -9.741 eV/atom
# Total magnetization: 0.001 μB/cell

[7]
# PBE-GGA V7Cr2Re2, optimized geometry
data_V7Cr2Re2
_chemical_formula_sum 'V14 Cr4 Re4'
_symmetry_space_group_name_H-M 'C 1 2/m 1'
_symmetry_Int_Tables_number 12
_cell_length_a 8.278
_cell_length_b 8.956
_cell_length_c 4.301
_cell_angle_alpha 90.00
_cell_angle_beta 108.86
_cell_angle_gamma 90.00
loop_
_symmetry_equiv_pos_as_xyz
'x,y,z'
'-x,-y,-z'
'-x,y,-z'
'x,-y,z'
'x+1/2,y+1/2,z'
'-x+1/2,-y+1/2,-z'
'-x+1/2,y+1/2,-z'
'x+1/2,-y+1/2,z'
loop_
_atom_site_label
_atom_site_type_symbol
_atom_site_fract_x
_atom_site_fract_y
_atom_site_fract_z
V1 V 0.000 0.000 0.000
V2 V 0.099 0.500 0.775
V3 V 0.162 0.244 0.165
Cr1 Cr 0.000 0.231 0.500
Re1 Re 0.198 0.000 0.635
# ΔE_f: 123 meV per atom
# Density: 9.167 g/cm3
# Total energy: -9.693 eV/atom
# Total magnetization: 0.000 μB/cell

[8]
# PBE-GGA V6CrRe, optimized geometry
data_V6CrRe
_chemical_formula_sum 'V18 Cr3 Re3'
_symmetry_space_group_name_H-M 'R -3 m'
_symmetry_Int_Tables_number 166
_symmetry_space_group_name_Hall '-R 3 2"'
_cell_length_a 8.7245
_cell_length_b 8.7245
_cell_length_c 4.9788
_cell_angle_alpha 90.00
_cell_angle_beta 90.00
_cell_angle_gamma 120.00
loop_
_atom_site_label
_atom_site_type_symbol
_atom_site_fract_x
_atom_site_fract_y
_atom_site_fract_z
V1 V 0.0041 0.5021 0.2510
Cr1 Cr 0.0000 0.0000 0.5000
Re1 Re 0.0000 0.0000 0.0000
# ΔE_f: 88 meV per atom
# Density: 8.255 g/cm3
# Total energy: -9.510 eV/atom
# Total magnetization: 0.000 μB/cell

[9]
# PBE-GGA VCr5Re2, optimized geometry
data_VCr5Re2
_chemical_formula_sum 'V2 Cr10 Re4'
_symmetry_space_group_name_H-M 'I 4/m m m'
_symmetry_Int_Tables_number 139
_symmetry_space_group_name_Hall '-I 4 2'
_cell_length_a 5.889
_cell_length_b 5.889
_cell_length_c 5.907
_cell_angle_alpha 90.00
_cell_angle_beta 90.00
_cell_angle_gamma 90.00
loop_
_atom_site_label
_atom_site_type_symbol
_atom_site_fract_x
_atom_site_fract_y
_atom_site_fract_z
V1 V 0.000 0.000 0.000
Cr1 Cr 0.000 0.000 0.500
Cr2 Cr 0.250 0.250 0.250
Re1 Re 0.000 0.500 0.000
# ΔE_f: -53 meV per atom
# Density: 11.079 g/cm3
# Total energy: -10.320 eV/atom
# Total magnetization: 0.596 μB/cell

[10]
# PBE-GGA VCr6Re2, optimized geometry
data_VCr6Re2
_chemical_formula_sum 'V2 Cr12 Re4'
_symmetry_space_group_name_H-M 'I m m m'
_symmetry_Int_Tables_number 71
_symmetry_space_group_name_Hall '-I 2 2'
_cell_length_a 2.440
_cell_length_b 7.709
_cell_length_c 12.646
_cell_angle_alpha 90.00
_cell_angle_beta 90.00
_cell_angle_gamma 90.00
loop_
_atom_site_label
_atom_site_type_symbol
_atom_site_fract_x
_atom_site_fract_y
_atom_site_fract_z
V1 V 0.000 0.000 0.000
Cr1 Cr 0.000 0.177 0.165
Cr2 Cr 0.000 0.181 0.500
Re1 Re 0.000 0.000 0.333
# ΔE_f: 424 meV per atom
# Density: 10.267 g/cm3
# Total energy: -9.771 eV/atom
# Total magnetization: 0.001 μB/cell

[11]
# PBE-GGA V4CrRe2, optimized geometry
data_V4CrRe2
_chemical_formula_sum 'V8 Cr2 Re4'
_symmetry_space_group_name_H-M 'I 4/m m m'
_symmetry_Int_Tables_number 139
_symmetry_space_group_name_Hall '-I 4 2'
_cell_length_a 5.921
_cell_length_b 5.921
_cell_length_c 5.952
_cell_angle_alpha 90.00
_cell_angle_beta 90.00
_cell_angle_gamma 90.00
loop_
_atom_site_label
_atom_site_type_symbol
_atom_site_fract_x
_atom_site_fract_y
_atom_site_fract_z
V1 V 0.250 0.250 0.250
Cr1 Cr 0.000 0.000 0.000
Re1 Re 0.000 0.500 0.000
# ΔE_f: 114 meV per atom
# Density: 9.999 g/cm3
# Total energy: -10.028 eV/atom
# Total magnetization: 0.001 μB/cell

[12]
# PBE-GGA VZnCr2Re, optimized geometry
data_VZnCr2Re
_chemical_formula_sum 'V1 Zn1 Cr2 Re1'
_symmetry_space_group_name_H-M 'P 4/m m m'
_symmetry_Int_Tables_number 123
_symmetry_space_group_name_Hall '-P 4 2'
_cell_length_a 4.234
_cell_length_b 4.234
_cell_length_c 4.346
_cell_angle_alpha 90.00
_cell_angle_beta 90.00
_cell_angle_gamma 90.00
loop_
_atom_site_label
_atom_site_type_symbol
_atom_site_fract_x
_atom_site_fract_y
_atom_site_fract_z
V1 V 0.000 0.000 0.000
Zn1 Zn 0.000 0.000 0.500
Cr1 Cr 0.000 0.500 0.500
Re1 Re 0.500 0.500 0.000
# ΔE_f: 1769 meV per atom
# Density: 8.665 g/cm3
# Total energy: -6.649 eV/atom
# Total magnetization: 0.000 μB/cell

- What is the formula in the fourth record?
  V3CrRe4

- What is the ΔE_f in the fourth record?
  -245 meV per atom

- Which formula does entry 1 have?
  V5CrRe6

What did the ninth record say?
# PBE-GGA VCr5Re2, optimized geometry
data_VCr5Re2
_chemical_formula_sum 'V2 Cr10 Re4'
_symmetry_space_group_name_H-M 'I 4/m m m'
_symmetry_Int_Tables_number 139
_symmetry_space_group_name_Hall '-I 4 2'
_cell_length_a 5.889
_cell_length_b 5.889
_cell_length_c 5.907
_cell_angle_alpha 90.00
_cell_angle_beta 90.00
_cell_angle_gamma 90.00
loop_
_atom_site_label
_atom_site_type_symbol
_atom_site_fract_x
_atom_site_fract_y
_atom_site_fract_z
V1 V 0.000 0.000 0.000
Cr1 Cr 0.000 0.000 0.500
Cr2 Cr 0.250 0.250 0.250
Re1 Re 0.000 0.500 0.000
# ΔE_f: -53 meV per atom
# Density: 11.079 g/cm3
# Total energy: -10.320 eV/atom
# Total magnetization: 0.596 μB/cell